A relaxed Al2BiBN crystal, computed with PBE.

Geometry as extended XYZ:
```
5
Lattice="4.014 0.000 0.000 0.000 5.005 0.000 0.000 0.000 4.014" Properties=species:S:1:pos:R:3 pbc="T T T"
Al 2.007 0.000 0.000
Al 0.000 0.000 2.007
N 0.000 2.502 0.000
B 0.000 0.000 0.000
Bi 2.007 2.502 2.007
```

Its total energy is -0.31700 Ry per atom. As for the calculated volume: 16.13 Å³/atom. As for the formation energy from raw total energies: 0.96 eV per atom. Its space group is P4/mmm (123). Its crystal system is tetragonal.

=====

A relaxed Al2BiBO6 crystal, computed with PBE.

Geometry as extended XYZ:
```
20
Lattice="5.975 0.280 0.291 2.251 6.391 0.398 2.251 0.161 6.402" Properties=species:S:1:pos:R:3 pbc="T T T"
O 5.240 0.332 1.459
O 4.735 1.438 4.282
Al 8.274 4.428 5.451
O 3.962 2.756 1.886
Al 5.286 5.143 4.482
Al 5.190 1.688 2.608
O 6.514 4.076 5.204
O 5.236 6.500 5.631
B 6.732 5.442 1.733
O 8.224 5.527 6.849
Bi 6.732 1.550 5.484
O 6.950 1.922 2.969
O 5.741 5.394 2.808
O 2.253 1.305 0.241
B 3.744 1.390 5.357
O 2.754 2.466 5.349
Al 2.203 2.404 1.639
O 7.723 4.366 1.741
Bi 3.744 5.282 1.606
O 3.527 4.910 4.121
```

Its total energy is -0.52598 Ry per atom. As for the calculated volume: 11.81 Å³/atom. As for the formation energy from raw total energies: -2.38 eV per atom. Its space group is C2/c (15). Its crystal system is monoclinic.

=====

A relaxed AlBi2BO6 crystal, computed with PBE.

Geometry as extended XYZ:
```
20
Lattice="6.538 0.000 0.862 0.000 5.581 0.000 1.346 0.000 9.423" Properties=species:S:1:pos:R:3 pbc="T T T"
O 2.022 1.132 9.220
O 6.496 3.584 6.269
O 2.106 3.364 7.879
O 4.703 5.007 3.599
Al 3.942 0.000 5.143
Bi 6.636 0.202 2.673
O 4.618 1.659 4.939
Bi 3.845 2.992 3.332
Al 0.000 2.790 0.000
O 2.554 4.787 1.127
O 1.388 1.997 4.016
O 5.862 4.449 1.066
B 0.673 2.790 4.712
Bi 1.248 5.379 7.613
Bi 4.039 2.589 6.953
O 3.266 3.922 5.346
O 3.181 0.573 6.686
O 5.778 2.217 2.406
O 5.330 0.794 9.159
B 3.269 0.000 0.431
```

Its total energy is -0.48024 Ry per atom. As for the calculated volume: 16.87 Å³/atom. As for the formation energy from raw total energies: -1.74 eV per atom. Its space group is P2_1/c (14). Its crystal system is monoclinic.

=====

A relaxed Sc2AlBiB crystal, computed with PBE.

Geometry as extended XYZ:
```
5
Lattice="-3.262 1.914 -2.975 -3.396 -0.562 3.363 0.854 3.776 1.493" Properties=species:S:1:pos:R:3 pbc="T T T"
B 0.000 0.000 0.000
Sc -1.631 0.957 -1.487
Bi -2.902 2.564 0.941
Sc -1.698 -0.281 1.681
Al 0.427 1.888 0.747
```

The energy of formation from the pure elements is -0.4282 eV per atom. Its total energy is -0.42783 Ry per atom. As for the calculated volume: 19.21 Å³/atom. Its space group is P4/mmm (123). Its crystal system is tetragonal.

=====

A relaxed AlSnBiB2 crystal, computed with PBE.

Geometry as extended XYZ:
```
5
Lattice="-2.499 -3.510 -1.455 2.871 -2.885 2.029 -2.946 0.232 4.499" Properties=species:S:1:pos:R:3 pbc="T T T"
B -1.249 -1.755 -0.728
Al -1.473 0.116 2.250
B 1.436 -1.443 1.014
Bi -1.287 -3.082 2.536
Sn 0.000 0.000 0.000
```

The energy of formation from the pure elements is 1.5317 eV per atom. Its total energy is -0.25464 Ry per atom. As for the calculated volume: 22.27 Å³/atom. Its space group is P4/mmm (123). Its crystal system is tetragonal.

=====

A relaxed Ti2AlBiB crystal, computed with PBE.

Geometry as extended XYZ:
```
5
Lattice="4.526 0.000 0.000 0.000 4.081 0.000 0.000 0.000 4.526" Properties=species:S:1:pos:R:3 pbc="T T T"
Bi 2.263 2.040 2.263
Ti 2.263 0.000 0.000
Ti 0.000 0.000 2.263
Al 0.000 2.040 0.000
B 0.000 0.000 0.000
```

The energy of formation from the pure elements is -0.1489 eV per atom. Its total energy is -0.45327 Ry per atom. As for the calculated volume: 16.72 Å³/atom. Its space group is P4/mmm (123). Its crystal system is tetragonal.

=====

A relaxed Al2BBr crystal, computed with PBE.

Geometry as extended XYZ:
```
4
Lattice="0.000 3.196 3.196 3.196 0.000 3.196 3.196 3.196 0.000" Properties=species:S:1:pos:R:3 pbc="T T T"
Al 1.598 1.598 1.598
B 0.000 0.000 0.000
Al 4.794 4.794 4.794
Br 3.196 3.196 3.196
```

Its total energy is -0.22020 Ry per atom. As for the calculated volume: 16.32 Å³/atom. As for the formation energy from raw total energies: 0.96 eV per atom. Its space group is Fm-3m (225). Its crystal system is cubic.

=====

A relaxed AlBBr2 crystal, computed with PBE.

Geometry as extended XYZ:
```
8
Lattice="6.527 0.000 0.000 0.000 6.527 0.000 3.263 3.263 6.440" Properties=species:S:1:pos:R:3 pbc="T T T"
Br 8.159 7.713 4.830
Al 6.527 3.263 3.220
B 3.263 3.263 0.000
Br 4.895 5.341 4.830
Br 2.078 4.895 1.610
Br 4.449 1.632 1.610
Al 0.000 0.000 0.000
B 3.263 6.527 3.220
```

Its total energy is -0.19177 Ry per atom. As for the calculated volume: 34.29 Å³/atom. As for the formation energy from raw total energies: 0.83 eV per atom. Its space group is I-42d (122). Its crystal system is tetragonal.

=====

A relaxed AlB3Br crystal, computed with PBE.

Geometry as extended XYZ:
```
5
Lattice="4.146 0.000 0.000 0.000 4.146 0.000 0.000 0.000 4.146" Properties=species:S:1:pos:R:3 pbc="T T T"
B 0.000 0.000 2.073
Al 2.073 2.073 2.073
Br 0.000 0.000 0.000
B 2.073 0.000 0.000
B 0.000 2.073 0.000
```

Its total energy is -0.19450 Ry per atom. As for the calculated volume: 14.25 Å³/atom. As for the formation energy from raw total energies: 2.44 eV per atom. Its space group is Pm-3m (221). Its crystal system is cubic.

=====

A relaxed Al3BBr crystal, computed with PBE.

Geometry as extended XYZ:
```
5
Lattice="4.475 0.000 0.000 0.000 4.475 0.000 0.000 0.000 4.475" Properties=species:S:1:pos:R:3 pbc="T T T"
Al 2.238 0.000 0.000
Al 0.000 0.000 2.238
B 0.000 0.000 0.000
Al 0.000 2.238 0.000
Br 2.238 2.238 2.238
```

Its total energy is -0.26064 Ry per atom. As for the calculated volume: 17.92 Å³/atom. As for the formation energy from raw total energies: 0.37 eV per atom. Its space group is Pm-3m (221). Its crystal system is cubic.

=====

A relaxed Al3BBr crystal, computed with PBE.

Geometry as extended XYZ:
```
5
Lattice="5.342 0.000 0.000 0.000 5.342 0.000 0.000 0.000 5.342" Properties=species:S:1:pos:R:3 pbc="T T T"
B 2.671 2.671 2.671
Al 2.671 0.000 0.000
Al 0.000 0.000 2.671
Al 0.000 2.671 0.000
Br 0.000 0.000 0.000
```

Its total energy is -0.15635 Ry per atom. As for the calculated volume: 30.49 Å³/atom. As for the formation energy from raw total energies: 1.79 eV per atom. Its space group is Pm-3m (221). Its crystal system is cubic.

=====

A relaxed AlBBr2 crystal, computed with PBE.

Geometry as extended XYZ:
```
4
Lattice="2.033 0.000 8.475 -1.017 1.761 8.475 -1.017 -1.761 8.475" Properties=species:S:1:pos:R:3 pbc="T T T"
B 0.000 0.000 12.712
Br 0.000 0.000 22.741
Al 0.000 0.000 0.000
Br 0.000 0.000 2.683
```

Its total energy is -0.19461 Ry per atom. As for the calculated volume: 22.76 Å³/atom. As for the formation energy from raw total energies: 0.79 eV per atom. Its space group is R-3m (166). Its crystal system is trigonal.

=====

A relaxed AlBBr2 crystal, computed with PBE.

Geometry as extended XYZ:
```
4
Lattice="2.659 -1.381 4.062 -2.386 -1.445 4.207 0.102 -4.842 1.423" Properties=species:S:1:pos:R:3 pbc="T T T"
Al 0.188 -3.834 4.846
B 0.000 0.000 0.000
Br 0.094 -1.917 2.423
Br 0.282 -5.751 7.269
```

Its total energy is -0.18450 Ry per atom. As for the calculated volume: 22.74 Å³/atom. As for the formation energy from raw total energies: 0.93 eV per atom. Its space group is Fm-3m (225). Its crystal system is cubic.

=====

A relaxed AlBBr3 crystal, computed with PBE.

Geometry as extended XYZ:
```
5
Lattice="-1.314 1.356 -4.472 1.404 -4.317 -1.721 -4.458 -1.759 0.777" Properties=species:S:1:pos:R:3 pbc="T T T"
B 0.000 0.000 0.000
Al -2.184 -2.360 -2.709
Br -0.657 0.678 -2.236
Br -2.229 -0.880 0.388
Br 0.702 -2.158 -0.861
```

Its total energy is -0.19798 Ry per atom. As for the calculated volume: 22.88 Å³/atom. As for the formation energy from raw total energies: 0.39 eV per atom. Its space group is Pm-3m (221). Its crystal system is cubic.

=====

A relaxed Al2BBr crystal, computed with PBE.

Geometry as extended XYZ:
```
8
Lattice="-3.773 -4.097 -0.529 1.958 -1.143 -5.115 2.501 -6.026 -0.756" Properties=species:S:1:pos:R:3 pbc="T T T"
B 1.776 -4.894 -4.347
Br -1.090 -6.371 -2.054
Br 0.000 0.000 0.000
Al 0.050 -8.966 -4.885
Al -1.031 -3.713 -1.095
Al 1.432 -6.623 -3.304
Al 0.920 -3.230 -3.516
B -0.908 -2.620 -2.822
```

Its total energy is -0.29724 Ry per atom. As for the calculated volume: 20.51 Å³/atom. As for the formation energy from raw total energies: -0.09 eV per atom. Its space group is I-42d (122). Its crystal system is tetragonal.

=====

A relaxed AlB3Br crystal, computed with PBE.

Geometry as extended XYZ:
```
5
Lattice="4.345 0.000 0.000 0.000 4.345 0.000 0.000 0.000 4.345" Properties=species:S:1:pos:R:3 pbc="T T T"
B 0.000 2.172 0.000
B 2.172 0.000 0.000
B 0.000 0.000 2.172
Al 0.000 0.000 0.000
Br 2.172 2.172 2.172
```

Its total energy is -0.24378 Ry per atom. As for the calculated volume: 16.40 Å³/atom. As for the formation energy from raw total energies: 1.77 eV per atom. Its space group is Pm-3m (221). Its crystal system is cubic.

=====

A relaxed AlBBr crystal, computed with PBE.

Geometry as extended XYZ:
```
6
Lattice="3.617 0.000 0.000 0.000 3.361 0.000 -1.809 0.000 10.076" Properties=species:S:1:pos:R:3 pbc="T T T"
Al 1.809 0.840 8.736
B 1.809 2.521 0.169
Br 0.000 0.840 3.145
Br 1.809 2.521 6.931
B 0.000 0.840 9.907
Al 0.000 2.521 1.340
```

Its total energy is -0.31393 Ry per atom. As for the calculated volume: 20.42 Å³/atom. As for the formation energy from raw total energies: -0.24 eV per atom. Its space group is Cmcm (63). Its crystal system is orthorhombic.

=====

A relaxed AlBBr2 crystal, computed with PBE.

Geometry as extended XYZ:
```
4
Lattice="-2.536 0.330 9.031 -3.132 -2.984 8.330 0.036 -1.950 9.182" Properties=species:S:1:pos:R:3 pbc="T T T"
Br -0.380 -0.310 1.789
B 0.000 0.000 0.000
Br -5.253 -4.294 24.754
Al -2.816 -2.302 13.271
```

Its total energy is -0.19648 Ry per atom. As for the calculated volume: 23.50 Å³/atom. As for the formation energy from raw total energies: 0.77 eV per atom. Its space group is R-3m (166). Its crystal system is trigonal.

=====

A relaxed AlBBr3 crystal, computed with PBE.

Geometry as extended XYZ:
```
5
Lattice="5.148 0.000 0.000 0.000 5.148 0.000 0.000 0.000 5.148" Properties=species:S:1:pos:R:3 pbc="T T T"
Br 0.000 2.574 0.000
Br 2.574 0.000 0.000
Br 0.000 0.000 2.574
Al 0.000 0.000 0.000
B 2.574 2.574 2.574
```

Its total energy is -0.19146 Ry per atom. As for the calculated volume: 27.28 Å³/atom. As for the formation energy from raw total energies: 0.48 eV per atom. Its space group is Pm-3m (221). Its crystal system is cubic.

=====

A relaxed AlCoB2Br crystal, computed with PBE.

Geometry as extended XYZ:
```
5
Lattice="-1.893 3.250 1.624 -4.519 -2.847 0.432 1.125 -1.217 3.747" Properties=species:S:1:pos:R:3 pbc="T T T"
B 0.563 -0.609 1.873
Co -2.643 -0.407 2.902
Br -2.259 -1.424 0.216
Al 0.000 0.000 0.000
B -0.946 1.625 0.812
```

Its total energy is -0.26213 Ry per atom. As for the calculated volume: 17.99 Å³/atom. As for the formation energy from raw total energies: 1.61 eV per atom. Its space group is P4/mmm (123). Its crystal system is tetragonal.

=====

A relaxed Cs2AlBBr6 crystal, computed with PBE.

Geometry as extended XYZ:
```
10
Lattice="-4.219 -5.845 2.343 6.278 -3.686 2.109 0.683 -2.549 7.131" Properties=species:S:1:pos:R:3 pbc="T T T"
Al 0.000 0.000 0.000
Br -1.703 -5.327 2.287
Cs 3.995 -5.501 5.733
Br 3.762 -4.204 2.165
Cs -1.253 -6.580 5.850
Br 0.847 -3.601 4.804
Br 0.494 -2.284 1.067
B 1.030 -4.766 2.226
Br 1.895 -8.480 6.779
Br 1.566 -7.247 3.385
```

Its total energy is -0.22368 Ry per atom. As for the calculated volume: 30.99 Å³/atom. As for the formation energy from raw total energies: -0.83 eV per atom. Its space group is I4/mmm (139). Its crystal system is tetragonal.

=====

A relaxed AlFeBBr crystal, computed with PBE.

Geometry as extended XYZ:
```
8
Lattice="-1.748 -4.252 -0.107 -0.039 -0.071 3.468 -7.641 3.173 -0.021" Properties=species:S:1:pos:R:3 pbc="T T T"
Br -8.850 -0.561 -0.111
Al -1.210 -1.270 1.695
Al -5.012 0.352 -0.049
B -6.485 0.906 1.680
Fe -3.356 -0.394 1.689
Fe -7.157 1.228 -0.055
Br -5.049 -2.183 1.633
B -2.645 -0.645 -0.043
```

Its total energy is -0.36178 Ry per atom. As for the calculated volume: 16.50 Å³/atom. As for the formation energy from raw total energies: 0.22 eV per atom. Its space group is Cm (8). Its crystal system is monoclinic.

=====

A relaxed AlFeBBr crystal, computed with PBE.

Geometry as extended XYZ:
```
4
Lattice="3.426 0.000 0.000 -1.712 2.983 0.000 -0.020 -1.643 6.095" Properties=species:S:1:pos:R:3 pbc="T T T"
B 0.303 -0.397 4.202
Al 2.016 0.612 3.151
Fe 0.304 1.589 4.569
Br 2.048 -0.117 0.885
```

Its total energy is -0.38689 Ry per atom. As for the calculated volume: 15.57 Å³/atom. As for the formation energy from raw total energies: -0.13 eV per atom. Its space group is P1 (1). Its crystal system is triclinic.

=====

A relaxed AlFeBBr crystal, computed with PBE.

Geometry as extended XYZ:
```
8
Lattice="3.709 0.000 0.000 0.000 3.394 0.000 0.000 0.000 11.508" Properties=species:S:1:pos:R:3 pbc="T T T"
Al 1.854 0.000 3.037
Al 0.000 1.697 8.791
Fe 0.000 0.000 4.377
Br 1.854 1.697 1.028
Br 0.000 0.000 6.782
B 0.000 1.697 3.649
B 1.854 0.000 9.403
Fe 1.854 1.697 10.131
```

Its total energy is -0.36673 Ry per atom. As for the calculated volume: 18.11 Å³/atom. As for the formation energy from raw total energies: 0.15 eV per atom. Its space group is Imm2 (44). Its crystal system is orthorhombic.

=====

A relaxed AlFeBBr crystal, computed with PBE.

Geometry as extended XYZ:
```
4
Lattice="-2.381 0.139 -1.652 1.140 -1.806 -1.794 -3.249 -6.241 4.220" Properties=species:S:1:pos:R:3 pbc="T T T"
Fe -2.427 -1.940 0.411
Al -1.302 -4.123 1.156
B -0.423 -2.449 0.029
Br -2.253 -5.933 2.374
```

Its total energy is -0.36483 Ry per atom. As for the calculated volume: 16.60 Å³/atom. As for the formation energy from raw total energies: 0.18 eV per atom. Its space group is Pm (6). Its crystal system is monoclinic.

=====

A relaxed HfAlBBr2 crystal, computed with PBE.

Geometry as extended XYZ:
```
5
Lattice="-2.935 -3.243 1.842 2.088 -4.012 -3.737 3.326 -1.214 3.161" Properties=species:S:1:pos:R:3 pbc="T T T"
Hf 1.044 -2.006 -1.868
Al 0.000 0.000 0.000
Br 1.663 -0.607 1.581
Br -1.468 -1.622 0.921
B 1.239 -4.235 0.634
```

Its total energy is -0.25680 Ry per atom. As for the calculated volume: 26.43 Å³/atom. As for the formation energy from raw total energies: 1.25 eV per atom. Its space group is P4/mmm (123). Its crystal system is tetragonal.